Record 1
This record from Alexandria via LeMat-Bulk describes a PBEsol-optimized structure of Mn3AlCr. The functional is meta-GGA SCAN.

For the formation energy, the calculation gives 0.897 eV/atom. The total magnetic moment is 15.33 μB/cell.

It has space group Pm-3m (No. 221), with a = 4.477 Å, b = 4.477 Å, c = 4.477 Å, α = 90.00°, β = 90.00° and γ = 90.00°. The inequivalent atoms are Mn at (0.000, 0.000, 0.500), Al at (0.000, 0.000, 0.000) and Cr at (0.500, 0.500, 0.500).

Record 2
This record from Alexandria via LeMat-Bulk describes a PBEsol-optimized structure of CsTlPtS2. The functional is meta-GGA SCAN.

Its raw formation energy is 1.60 eV per atom. The total magnetic moment is 2.16 μB/cell.

It has space group P4/mmm (No. 123), with a = 5.397 Å, b = 5.397 Å, c = 6.226 Å, α = 90.00°, β = 90.00° and γ = 90.00°. The inequivalent atoms are Cs at (0.000, 0.000, 0.000), Tl at (0.000, 0.000, 0.500), Pt at (0.500, 0.500, 0.500) and S at (0.000, 0.500, 0.000).